1.
A relaxed NaCa2MgIr crystal. Source: Alexandria, functional PBE.

a b c (Å): 5.5152 5.5152 5.2043
angles (deg): 90.00 90.00 90.00
Last column: nearest neighbours and their distance in Å.
Atoms (fractional coordinates):
Na: 0.5000 0.5000 0.5000  8 Ca 3.79, 4 Mg 3.90
Ca: 0.0000 0.5000 0.0000  2 Ir 2.76
Ca: 0.5000 0.0000 0.0000  2 Ir 2.76
Ir: 0.0000 0.0000 0.0000  2 Mg 2.60, 4 Ca 2.76
Mg: 0.0000 0.0000 0.5000  2 Ir 2.60

Values from the calculation:
Its total energy is -3.302 eV/atom. The energy relative to the elements is -0.73 eV/f.u. The calculation puts the volume at 31.66 Å³/atom.

=====

2.
A relaxed Tb3Pm8Ho4 crystal. Source: Alexandria, functional PBE.

a b c (Å): 6.8739 9.3023 9.3023
angles (deg): 81.57 112.70 112.70
Last column: nearest neighbours and their distance in Å.
Atoms (fractional coordinates):
Tb: 0.5000 0.5000 0.0000  2 Ho 3.44, 8 Pm 3.45-3.62
Tb: 0.5000 0.0000 0.5000  2 Ho 3.44, 8 Pm 3.45-3.62
Tb: 0.5000 0.5000 0.5000  4 Pm 3.08-3.09
Pm: 0.7717 0.2964 0.2964  4 Pm 3.42-3.56, 2 Tb 3.45, 3 Ho 3.60-3.63
Pm: 0.0000 0.7045 0.2955  4 Pm 3.49-3.50, 2 Tb 3.49, 3 Ho 3.56-3.59
Pm: 0.2084 0.2455 0.2455  1 Ho 2.99, 1 Tb 3.09
Pm: 0.5000 0.7531 0.2469  1 Ho 3.00, 1 Tb 3.08
Pm: 0.5000 0.2469 0.7531  1 Ho 3.00, 1 Tb 3.08
Pm: 0.7916 0.7545 0.7545  1 Ho 2.99, 1 Tb 3.09
Pm: 0.0000 0.2955 0.7045  4 Pm 3.49-3.50, 2 Tb 3.49, 3 Ho 3.56-3.59
Pm: 0.2283 0.7036 0.7036  4 Pm 3.42-3.56, 2 Tb 3.45, 3 Ho 3.60-3.63
Ho: 0.5000 0.0000 0.0000  2 Pm 3.00
Ho: 0.0000 0.5000 0.0000  8 Pm 3.37-3.63, 2 Tb 3.44
Ho: 0.0000 0.0000 0.0000  2 Pm 2.99
Ho: 0.0000 0.0000 0.5000  8 Pm 3.37-3.63, 2 Tb 3.44

Values from the calculation:
Its total energy is -4.337 eV/atom. The energy relative to the elements is 5.15 eV/f.u. The calculation puts the volume at 33.75 Å³/atom.

=====

3.
A relaxed Sm3Dy2Y2 crystal. Source: Alexandria, functional PBE.

a b c (Å): 3.5262 8.5679 8.9507
angles (deg): 118.34 101.36 90.00
Last column: nearest neighbours and their distance in Å.
Atoms (fractional coordinates):
Sm: 0.0000 0.5000 0.0000  4 Sm 3.35-3.53, 2 Y 3.53, 4 Dy 3.58
Sm: 0.2122 0.8009 0.4243  5 Sm 3.35-3.53, 3 Dy 3.47-3.60, 3 Y 3.62-3.66
Sm: 0.7878 0.1991 0.5757  5 Sm 3.35-3.53, 3 Dy 3.47-3.60, 3 Y 3.62-3.66
Dy: 0.5650 0.9092 0.1300  3 Dy 3.33-3.53, 5 Sm 3.47-3.60, 4 Y 3.59-3.69
Dy: 0.4350 0.0908 0.8700  3 Dy 3.33-3.53, 5 Sm 3.47-3.60, 4 Y 3.59-3.69
Y: 0.8545 0.6751 0.7090  4 Y 3.53-3.86, 4 Sm 3.53-3.66, 4 Dy 3.59-3.69
Y: 0.1455 0.3249 0.2910  4 Y 3.53-3.86, 4 Sm 3.53-3.66, 4 Dy 3.59-3.69

Values from the calculation:
Its total energy is -5.078 eV/atom. The energy relative to the elements is 0.75 eV/f.u. The calculation puts the volume at 33.14 Å³/atom.

=====

4.
A relaxed Rb3DyTh2Se6 crystal. Source: Alexandria, functional PBE.

a b c (Å): 7.3803 7.3803 8.4776
angles (deg): 98.35 98.35 119.99
Last column: nearest neighbours and their distance in Å.
Atoms (fractional coordinates):
Rb: 0.1674 0.8326 0.5000  6 Se 3.43-3.46
Rb: 0.8326 0.1674 0.5000  6 Se 3.43-3.46
Rb: 0.5000 0.5000 0.5000  6 Se 3.43-3.46
Dy: 0.0000 0.0000 0.0000  6 Se 2.93-2.94
Th: 0.3335 0.6665 0.0000  6 Se 2.98
Th: 0.6665 0.3335 0.0000  6 Se 2.98
Se: 0.9323 0.6033 0.7969  1 Dy 2.93, 2 Th 2.98
Se: 0.7390 0.7390 0.2035  1 Dy 2.94, 2 Th 2.98
Se: 0.0677 0.3967 0.2031  1 Dy 2.93, 2 Th 2.98
Se: 0.6033 0.9323 0.7969  1 Dy 2.93, 2 Th 2.98
Se: 0.2610 0.2610 0.7965  1 Dy 2.94, 2 Th 2.98
Se: 0.3967 0.0677 0.2031  1 Dy 2.93, 2 Th 2.98

Values from the calculation:
Its total energy is -5.189 eV/atom. As for the raw formation energy: -1.58 eV/atom. The calculation puts the volume at 31.89 Å³/atom.

=====

5.
A relaxed CaSb2TeOs crystal. Source: Alexandria, functional PBE.

a b c (Å): 5.0211 5.0211 6.0746
angles (deg): 90.00 90.00 90.00
Last column: nearest neighbours and their distance in Å.
Atoms (fractional coordinates):
Sb: 0.0000 0.5000 0.0000  2 Os 2.51
Sb: 0.5000 0.0000 0.0000  2 Os 2.51
Ca: 0.5000 0.5000 0.5000  4 Te 3.55, 8 Sb 3.94
Te: 0.0000 0.0000 0.5000  2 Os 3.04
Os: 0.0000 0.0000 0.0000  4 Sb 2.51

Values from the calculation:
Its total energy is -4.807 eV/atom. As for the raw formation energy: 0.12 eV/atom. The calculation puts the volume at 30.63 Å³/atom.

=====

6.
A relaxed As2P2I crystal. Source: Alexandria, functional PBE.

a b c (Å): 4.4278 4.4278 6.7141
angles (deg): 70.75 70.75 90.00
Last column: nearest neighbours and their distance in Å.
Atoms (fractional coordinates):
I: 0.0000 0.0000 0.0000  8 P 3.60, 8 As 3.70
P: 0.3512 0.3512 0.2977  4 As 2.52
P: 0.6488 0.6488 0.7023  4 As 2.52
As: 0.7500 0.2500 0.5000  4 P 2.52
As: 0.2500 0.7500 0.5000  4 P 2.52

Values from the calculation:
Its total energy is -4.055 eV/atom. As for the raw formation energy: 0.28 eV/atom. The calculation puts the volume at 23.29 Å³/atom.